Entry from the Alexandria database: a relaxed structure of Li2HgO2 (PBE).

a = 6.2127 Å, b = 6.2127 Å, c = 3.0164 Å
α = 90.00°, β = 90.00°, γ = 90.00°
Space group P4/mbm (No. 127)
Asymmetric unit:
Li 0.1385 0.3615 0.0000 [4 per cell]
Hg 0.0000 0.0000 0.5000 [2 per cell]
O 0.1782 0.6782 0.5000 [4 per cell]

Properties
Uncorrected energy = -18.71 eV/f.u.
Raw formation energy = -0.932 eV/atom